[1]
8
Lattice="-1.392 9.403 -4.814 -5.894 3.338 8.224 -1.268 7.383 2.996" Properties=species:S:1:pos:R:3 comment="HgTeCl2 | the Alexandria database | PBE | relaxed" spacegroup=I4_1/amd dft_energy_ev_per_atom=-2.00 relative_energy_mev_per_atom=113 magnetic_moment_mub_per_atom=0.000 raw_formation_energy_kcal_per_mol_atoms=-4.99 pbc="T T T"
Cl -5.155 11.149 5.581
Te -3.643 6.370 1.705
Hg 0.000 0.000 0.000
Cl -5.853 15.851 3.177
Cl -4.522 7.457 4.085
Te -5.402 8.546 6.463
Cl -1.576 5.790 -0.029
Hg -3.151 11.578 -0.056

=====

[2]
4
Lattice="4.020 0.001 -0.003 -2.008 3.482 0.003 -2.004 -1.165 8.095" Properties=species:S:1:pos:R:3 comment="Ce2CdIr | the Alexandria database | PBE | relaxed" spacegroup=R-3m dft_energy_ev_per_atom=-5.82 relative_energy_mev_per_atom=52 magnetic_moment_mub_per_atom=0.388 delta_e_f_ev_per_atom=-0.410 pbc="T T T"
Cd -2.006 1.159 4.049
Ce 0.003 2.321 1.582
Ce 0.005 -0.003 6.513
Ir 0.000 0.000 0.000

=====

[3]
3
Lattice="4.595 0.000 0.000 2.297 3.979 0.000 2.297 1.326 3.751" Properties=species:S:1:pos:R:3 comment="ReAgPb | the Alexandria database | PBE | relaxed" spacegroup=F-43m dft_energy_ev_per_atom=-5.17 relative_energy_mev_per_atom=246 magnetic_moment_mub_per_atom=0.528 delta_e_f_ev_per_atom=1.165 pbc="T T T"
Pb 4.595 2.653 1.876
Ag 0.000 0.000 0.000
Re 6.892 3.979 2.814